A plane-wave DFT calculation with PBE with a Hubbard U was carried out for a relaxed structure of V2OF.

abc: 5.902 5.902 5.902
angles: 131.80 131.80 70.55
Element x y z (fractional)
V: 0.087 0.625 0.962
V: 0.375 0.337 0.462
V: 0.663 0.125 0.038
V: 0.875 0.913 0.538
O: 0.000 0.000 0.000
O: 0.750 0.250 0.500
F: 0.250 0.750 0.500
F: 0.500 0.500 0.000

Fermi-level density of states in states/eV/atom: 0.537
Space group: I-42d
E above lowest polymorph in eV/f.u.: 0.00
Calculated volume in Å³ per atom: 13.992
E_tot in eV per cell: -52.0